Compound: PmSm5Tm3
Source: Alexandria
Functional: PBE-GGA
Structure: relaxed

Summary:
Energy of formation from the pure elements in eV per atom: 0.283
Calculated total energy in eV/atom: -4.36
Total magnetization in μB per formula unit: 0.00
Volume in A^3/atom: 34.176

POSCAR file:
```
PmSm5Tm3
1.0
9.182 -3.188 0.000
9.182 3.188 0.000
-4.193 0.000 10.509
Pm Sm Tm
2 10 6
Direct
0.138 0.862 0.750 Pm
0.862 0.138 0.250 Pm
0.119 0.544 0.791 Sm
0.151 0.529 0.483 Sm
0.391 0.609 0.250 Sm
0.456 0.881 0.709 Sm
0.471 0.849 0.017 Sm
0.529 0.151 0.983 Sm
0.544 0.119 0.291 Sm
0.609 0.391 0.750 Sm
0.849 0.471 0.517 Sm
0.881 0.456 0.209 Sm
0.000 0.000 0.000 Tm
0.000 0.000 0.500 Tm
0.006 0.656 0.124 Tm
0.344 0.994 0.376 Tm
0.656 0.006 0.624 Tm
0.994 0.344 0.876 Tm
```


Compound: ErAlNi
Source: Alexandria
Functional: PBE-GGA
Structure: relaxed

Summary:
Energy of formation from the pure elements in eV per atom: -0.531
Calculated total energy in eV/atom: -5.23
Total magnetization in μB per formula unit: 0.00
Volume in A^3/atom: 17.380

POSCAR file:
```
ErAlNi
1.0
8.572 0.000 0.000
0.000 2.682 4.536
0.000 -2.682 4.536
Er Al Ni
4 4 4
Direct
0.182 0.000 0.000 Er
0.290 0.332 0.332 Er
0.710 0.332 0.332 Er
0.818 0.000 0.000 Er
0.000 0.533 0.533 Al
0.500 0.337 0.832 Al
0.500 0.832 0.337 Al
0.500 0.833 0.833 Al
0.000 0.016 0.525 Ni
0.000 0.525 0.016 Ni
0.261 0.667 0.667 Ni
0.739 0.667 0.667 Ni
```


Compound: LaBrOF2
Source: Alexandria
Functional: PBE-GGA
Structure: relaxed

Summary:
E_form (uncorrected) in meV/atom: -2317
Calculated total energy in eV/atom: -5.38
Total magnetization in μB per formula unit: 2.00
Volume in A^3/atom: 21.625

POSCAR file:
```
LaBrOF2
1.0
4.604 0.000 0.000
0.000 4.604 0.000
0.000 0.000 5.101
La Br O F
1 1 1 2
Direct
0.000 0.000 0.000 La
0.500 0.500 0.500 Br
0.000 0.000 0.500 O
0.000 0.500 0.000 F
0.500 0.000 0.000 F
```


Compound: Tb2Ho3Tm3
Source: Alexandria
Functional: PBE-GGA
Structure: relaxed

Summary:
Energy of formation from the pure elements in eV per atom: 0.004
Calculated total energy in eV/atom: -4.55
Total magnetization in μB per formula unit: 0.00
Volume in A^3/atom: 30.635

POSCAR file:
```
Tb2Ho3Tm3
1.0
11.780 -1.763 0.000
11.780 1.763 0.000
-1.582 0.000 5.900
Tb Ho Tm
2 3 3
Direct
0.250 0.250 0.250 Tb
0.750 0.750 0.750 Tb
0.000 0.000 0.000 Ho
0.124 0.124 0.458 Ho
0.876 0.876 0.542 Ho
0.376 0.376 0.043 Tm
0.500 0.500 0.500 Tm
0.624 0.624 0.957 Tm
```


Compound: SbAu4Cl
Source: Alexandria
Functional: PBE-GGA
Structure: relaxed

Summary:
E_form (uncorrected) in meV/atom: 148
Calculated total energy in eV/atom: -3.03
Total magnetization in μB per formula unit: 0.00
Volume in A^3/atom: 20.895

POSCAR file:
```
SbAu4Cl
1.0
0.000 3.972 3.972
3.972 0.000 3.972
3.972 3.972 0.000
Sb Au Cl
1 4 1
Direct
0.000 0.000 0.000 Sb
0.125 0.625 0.625 Au
0.625 0.125 0.625 Au
0.625 0.625 0.125 Au
0.625 0.625 0.625 Au
0.250 0.250 0.250 Cl
```